{
  "formula": "Co2Ru2F",
  "functional": "GGA+U",
  "state": "relaxed",
  "lattice": [[7.218, -1.351, 0.000], [7.218, 1.351, 0.000], [-4.988, 0.000, 6.883]],
  "species": ["Co", "Co", "Co", "Co", "Ru", "Ru", "Ru", "Ru", "F", "F"],
  "frac_coords": [[0.000, 0.000, 0.000], [0.120, 0.120, 0.531], [0.556, 0.556, 0.821], [0.679, 0.679, 0.349], [0.208, 0.208, 0.109], [0.329, 0.329, 0.712], [0.463, 0.463, 0.208], [0.791, 0.791, 0.932], [0.020, 0.020, 0.623], [0.377, 0.377, 0.337]],
  "magmom_total_mub_per_atom": 0.94,
  "polymorph_energy_mev_per_atom": 124,
  "sg": "No. 8"
}